A plane-wave DFT calculation with PBE-GGA was carried out for a geometry-optimized Tb8Sm2Sn structure.

Calculated values
The calculation puts the energy at -50.5 eV/cell. The calculation puts the density at 7.98 g/cm³. As for the crystal system: monoclinic.

Lattice parameters (Å, degrees): 7.3393 8.1777 8.1777 48.19 104.45 104.45
Closest atoms and distances in Å follow each position.
Positions (direct):
Tb 0.3619 0.3281 0.8120  1 Sn 3.10, 5 Tb 3.23-3.45, 1 Sm 3.27
Tb 0.6381 0.1880 0.6719  1 Sn 3.10, 5 Tb 3.23-3.45, 1 Sm 3.27
Tb 0.2380 0.8285 0.8285  3 Tb 3.38-3.41, 1 Sn 3.47, 3 Sm 3.63-3.66
Tb 0.7620 0.1715 0.1715  3 Tb 3.38-3.41, 1 Sn 3.47, 3 Sm 3.63-3.66
Tb 0.3619 0.8120 0.3281  1 Sn 3.10, 5 Tb 3.23-3.45, 1 Sm 3.27
Tb 0.6381 0.6719 0.1880  1 Sn 3.10, 5 Tb 3.23-3.45, 1 Sm 3.27
Tb 0.9557 0.6050 0.6050  1 Sm 3.23, 6 Tb 3.37-3.55
Tb 0.0443 0.3950 0.3950  1 Sm 3.23, 6 Tb 3.37-3.55
Sm 0.7193 0.7587 0.7587  3 Tb 3.23-3.27
Sm 0.2807 0.2413 0.2413  3 Tb 3.23-3.27
Sn 0.0000 0.0000 0.0000  4 Tb 3.10